[1]
First-principles (PBE) data for a geometry-optimized Zn3Cu3Au2 structure, as listed in Alexandria via LeMat-Bulk.

Values from the calculation:
D(E_F)	0.3872	states/eV/atom
energy above the most stable polymorph in this dataset	0	kJ/mol of formula units
symmetry	Pmmm (47)
energy relative to the elements	-0.12	eV per atom
total DFT energy (no corrections)	-2.953	eV per atom

Geometry as POSCAR:
```
Zn3Cu3Au2
1.0
3.897 0.000 0.000
0.000 3.889 0.000
0.000 0.000 7.613
Zn Cu Au
3 3 2
Cartesian
1.949 0.000 3.806
0.000 1.944 0.000
0.000 1.944 3.806
1.949 1.944 5.713
1.949 1.944 1.900
1.949 0.000 0.000
0.000 0.000 5.726
0.000 0.000 1.887
```

***

[2]
First-principles (PBE) data for a geometry-optimized Zn3Cu3Au2 structure, as listed in Alexandria via LeMat-Bulk.

Values from the calculation:
D(E_F)	0.2136	states/eV/atom
energy above the most stable polymorph in this dataset	21	kJ/mol of formula units
symmetry	C2/m (12)
energy relative to the elements	-0.09	eV per atom
total DFT energy (no corrections)	-2.926	eV per atom

Geometry as POSCAR:
```
Zn3Cu3Au2
1.0
4.402 0.000 0.000
0.000 4.439 -0.325
-2.201 -1.804 6.039
Zn Cu Au
3 3 2
Cartesian
2.201 0.100 1.399
2.201 2.219 -0.162
0.000 2.535 4.316
0.000 2.311 1.149
2.201 0.323 4.566
0.000 0.000 0.000
0.000 0.205 2.923
2.201 2.429 2.792
```

***

[3]
First-principles (PBE) data for a geometry-optimized ZnCu2Au6 structure, as listed in Alexandria via LeMat-Bulk.

Values from the calculation:
D(E_F)	0.2983	states/eV/atom
energy above the most stable polymorph in this dataset	10	kJ/mol of formula units
symmetry	C2/m (12)
energy relative to the elements	-0.07	eV per atom
total DFT energy (no corrections)	-3.306	eV per atom

Geometry as POSCAR:
```
ZnCu2Au6
1.0
-2.182 -3.534 -0.047
-1.151 -1.788 4.330
-8.098 2.530 2.142
Zn Cu Au
1 2 6
Cartesian
-4.624 0.371 3.236
-7.323 -0.417 4.227
-4.107 -2.375 2.198
-9.922 -1.264 5.124
-1.508 -1.527 1.301
-2.431 -0.992 3.925
-5.052 -1.826 4.824
-8.999 -1.799 2.499
-6.378 -0.965 1.600
```

***

[4]
First-principles (PBE) data for a geometry-optimized ZnCuAu6 structure, as listed in Alexandria via LeMat-Bulk.

Values from the calculation:
D(E_F)	0.3060	states/eV/atom
energy above the most stable polymorph in this dataset	52	kJ/mol of formula units
symmetry	C2/m (12)
energy relative to the elements	0.01	eV per atom
total DFT energy (no corrections)	-3.122	eV per atom

Geometry as POSCAR:
```
ZnCuAu6
1.0
4.704 0.623 0.036
0.974 4.644 0.036
1.707 1.583 7.167
Zn Cu Au
1 1 6
Cartesian
3.693 3.425 3.619
0.000 0.000 0.000
1.374 3.137 2.201
3.232 1.135 2.201
4.154 5.715 5.037
6.011 3.713 5.037
3.591 3.331 6.756
3.794 3.519 0.483
```

***

[5]
First-principles (PBE) data for a geometry-optimized Zn2CuAu6 structure, as listed in Alexandria via LeMat-Bulk.

Values from the calculation:
D(E_F)	0.1884	states/eV/atom
energy above the most stable polymorph in this dataset	2	kJ/mol of formula units
symmetry	C2/m (12)
energy relative to the elements	-0.12	eV per atom
total DFT energy (no corrections)	-3.044	eV per atom

Geometry as POSCAR:
```
Zn2CuAu6
1.0
4.110 0.000 0.000
2.055 4.399 0.031
2.055 2.050 8.353
Zn Cu Au
2 1 6
Cartesian
4.110 4.204 6.082
4.110 2.245 2.303
2.055 3.225 4.192
6.165 5.124 7.892
2.055 1.325 0.492
2.055 3.958 1.592
4.110 4.849 3.415
6.165 2.491 6.792
4.110 1.600 4.969
```

***

[6]
First-principles (PBE) data for a geometry-optimized ZnCu3Au4 structure, as listed in Alexandria via LeMat-Bulk.

Values from the calculation:
D(E_F)	0.2507	states/eV/atom
energy above the most stable polymorph in this dataset	101	kJ/mol of formula units
symmetry	P2/m (10)
energy relative to the elements	0.04	eV per atom
total DFT energy (no corrections)	-3.298	eV per atom

Geometry as POSCAR:
```
ZnCu3Au4
1.0
3.993 0.002 0.004
0.000 3.250 -1.248
-1.986 -2.941 11.766
Zn Cu Au
1 3 4
Cartesian
1.996 0.001 0.002
0.000 1.625 -0.624
0.008 -0.211 4.307
1.998 0.521 6.215
2.004 1.391 3.624
0.003 -1.081 6.898
0.005 0.677 1.764
2.001 -0.367 8.758
```

***

[7]
First-principles (PBE) data for a geometry-optimized Zn5Cu12Au2 structure, as listed in Alexandria via LeMat-Bulk.

Values from the calculation:
D(E_F)	0.3587	states/eV/atom
symmetry	C2/m (12)
energy relative to the elements	-0.02	eV per atom
total DFT energy (no corrections)	-3.287	eV per atom

Geometry as POSCAR:
```
Zn5Cu12Au2
1.0
-0.627 -2.546 3.933
7.315 -2.225 1.682
3.636 4.382 5.372
Zn Cu Au
5 12 2
Cartesian
2.189 -0.816 3.643
3.327 -1.471 5.951
-0.313 -1.273 1.967
6.998 1.083 5.037
8.135 0.427 7.345
8.657 -0.545 9.606
3.990 -1.448 2.001
2.238 1.699 3.759
4.896 -2.303 4.186
3.048 1.015 6.040
4.712 0.209 4.323
5.613 -0.597 6.665
5.429 1.915 6.802
7.277 -1.404 4.948
6.334 1.059 8.987
8.086 -2.087 7.230
1.668 0.156 1.383
4.407 2.999 4.600
6.545 -0.841 2.455
```

***

[8]
First-principles (PBE) data for a geometry-optimized Zn5Cu4Au4 structure, as listed in Alexandria via LeMat-Bulk.

Values from the calculation:
D(E_F)	0.3539	states/eV/atom
symmetry	I4/m (87)
energy relative to the elements	-0.10	eV per atom
total DFT energy (no corrections)	-2.856	eV per atom

Geometry as POSCAR:
```
Zn5Cu4Au4
1.0
-1.407 2.404 1.900
0.632 -3.057 7.327
6.242 4.616 1.775
Zn Cu Au
5 4 4
Cartesian
3.597 2.106 8.976
1.870 1.858 2.026
0.000 0.000 0.000
0.326 0.045 6.168
5.141 3.919 4.834
3.223 3.743 6.627
2.544 2.728 4.417
2.244 0.220 4.375
2.924 1.236 6.585
-0.027 1.586 3.958
5.494 2.378 7.045
1.153 0.984 8.585
4.315 2.980 2.418
```

***

[9]
First-principles (PBE) data for a geometry-optimized Zn3Cu2Au4 structure, as listed in Alexandria via LeMat-Bulk.

Values from the calculation:
D(E_F)	0.2439	states/eV/atom
energy above the most stable polymorph in this dataset	0	kJ/mol of formula units
symmetry	C2/m (12)
energy relative to the elements	-0.14	eV per atom
total DFT energy (no corrections)	-2.935	eV per atom

Geometry as POSCAR:
```
Zn3Cu2Au4
1.0
-0.936 1.868 3.150
-1.888 -5.480 2.689
6.422 -0.108 -0.296
Zn Cu Au
3 2 4
Cartesian
3.459 -0.176 3.400
0.139 -3.544 2.143
0.000 0.000 0.000
2.065 -4.931 3.537
1.534 1.211 2.005
-0.557 -0.726 2.533
1.517 -2.363 4.120
4.156 -2.994 3.010
2.081 -1.356 1.423
```

***

[10]
First-principles (PBE) data for a geometry-optimized ZnCu7Au12 structure, as listed in Alexandria via LeMat-Bulk.

Values from the calculation:
D(E_F)	0.3141	states/eV/atom
symmetry	R-3 (148)
energy relative to the elements	-0.01	eV per atom
total DFT energy (no corrections)	-3.470	eV per atom

Geometry as POSCAR:
```
ZnCu7Au12
1.0
7.286 -0.024 -0.037
-2.049 6.992 -0.037
-2.049 -2.727 6.439
Zn Cu Au
1 7 12
Cartesian
0.000 0.000 0.000
-2.693 2.027 6.295
0.492 -2.348 5.808
-2.392 5.429 2.070
1.594 2.120 3.183
5.579 -1.188 4.295
2.696 6.588 0.558
5.880 2.214 0.070
3.651 0.600 4.076
3.626 1.894 1.405
2.198 -0.566 1.801
4.343 3.332 3.869
0.811 -0.248 4.241
1.993 1.607 6.194
1.195 2.634 0.171
2.376 4.489 2.124
-1.155 0.909 2.497
0.989 4.807 4.565
-0.439 2.347 4.960
-0.464 3.641 2.289
```

***

[11]
First-principles (PBE) data for a geometry-optimized Zn2Cu2Au structure, as listed in Alexandria via LeMat-Bulk.

Values from the calculation:
D(E_F)	0.2383	states/eV/atom
energy above the most stable polymorph in this dataset	39	kJ/mol of formula units
symmetry	P4/mbm (127)
energy relative to the elements	-0.04	eV per atom
total DFT energy (no corrections)	-2.845	eV per atom

Geometry as POSCAR:
```
Zn2Cu2Au
1.0
-2.628 0.750 -6.320
6.252 -0.976 -2.716
-0.506 -2.875 -0.131
Zn Au Cu
4 2 4
Cartesian
4.454 -0.571 -4.670
1.682 0.032 -7.197
-0.831 0.345 -4.365
1.941 -0.258 -1.839
0.000 0.000 0.000
1.812 -0.113 -4.518
3.459 -1.962 -2.886
3.247 -1.759 -6.524
-0.342 -1.139 -6.280
-0.129 -1.342 -2.642
```

***

[12]
First-principles (PBE) data for a geometry-optimized Zn2Cu5Au4 structure, as listed in Alexandria via LeMat-Bulk.

Values from the calculation:
D(E_F)	0.1843	states/eV/atom
energy above the most stable polymorph in this dataset	0	kJ/mol of formula units
symmetry	P2/m (10)
energy relative to the elements	-0.03	eV per atom
total DFT energy (no corrections)	-3.316	eV per atom

Geometry as POSCAR:
```
Zn2Cu5Au4
1.0
-1.853 0.538 -2.071
-5.069 -1.066 4.257
-0.393 8.321 2.515
Zn Cu Au
2 5 4
Cartesian
-4.986 4.349 5.591
-0.476 2.906 1.181
-2.333 1.963 2.597
-4.108 0.515 3.809
-2.534 -0.533 2.129
-1.354 6.740 2.963
-3.129 5.291 4.175
-2.585 4.668 1.591
-5.447 6.855 4.720
-4.730 3.125 3.110
-1.868 0.938 -0.019
```